A geometry-optimized LaThTc structure, computed with PBE.

Geometry as POSCAR:
```
LaThTc
1.0
3.5612 0.0000 0.0000
0.0000 3.5612 0.0000
-1.7806 -1.7806 5.8962
La Th Tc
1 1 1
Direct
0.0094 0.0094 0.0188
0.3117 0.3117 0.6233
0.6790 0.6790 0.3579
```

Values from the calculation:
SG: I4mm (107)
D(E_F), states/eV per atom: 0.751
Total moment, μB/atom: 0.000
Energy relative to the elements, eV/atom: -0.017
Polymorph energy (0 for the lowest one), meV per atom: 0

A geometry-optimized NaAc2Mn2N6 structure, computed with PBE.

Geometry as POSCAR:
```
NaAc2Mn2N6
1.0
-6.7156 0.1586 -0.4384
-2.2904 -3.9312 -3.4453
-0.5959 -0.6166 5.8495
Mn Na N Ac
2 1 6 2
Direct
0.8128 0.1650 0.1433
0.1872 0.8350 0.8567
0.5000 0.0000 0.5000
0.3554 0.8523 0.0591
0.6446 0.1477 0.9409
0.8177 0.0111 0.3238
0.1837 0.5044 0.6728
0.1823 0.9889 0.6762
0.8163 0.4956 0.3272
0.2041 0.5108 0.2263
0.7959 0.4892 0.7737
```

Values from the calculation:
SG: P-1 (2)
D(E_F), states/eV per atom: 0.387
Total moment, μB/atom: 0.066
Formation energy from raw total energies, eV per atom: -0.57

A geometry-optimized LiPm3Se4 structure, computed with PBE.

Geometry as POSCAR:
```
LiPm3Se4
1.0
5.8903 0.0000 0.0000
0.0000 5.8903 0.0000
0.0000 0.0000 5.8903
Pm Se Li
3 4 1
Direct
0.5000 0.0000 0.5000
0.5000 0.5000 0.0000
0.0000 0.5000 0.5000
0.5000 0.0000 0.0000
0.0000 0.5000 0.0000
0.5000 0.5000 0.5000
0.0000 0.0000 0.5000
0.0000 0.0000 0.0000
```

Values from the calculation:
SG: Pm-3m (221)
D(E_F), states/eV per atom: 0.353
Total moment, μB/atom: 0.000
Formation energy from raw total energies, eV per atom: -1.78
Polymorph energy (0 for the lowest one), meV per atom: 0

A geometry-optimized Hf2BiH structure, computed with PBE.

Geometry as POSCAR:
```
Hf2BiH
1.0
5.8221 0.0000 0.0000
0.0000 5.8221 0.0000
2.9111 2.9111 4.7843
H Bi Hf
2 2 4
Direct
0.2500 0.7500 0.5000
0.5000 0.5000 0.0000
0.0000 0.0000 0.0000
0.7500 0.2500 0.5000
0.3745 0.6250 0.2500
0.3755 0.1250 0.2500
0.3750 0.6245 0.7500
0.8750 0.6255 0.7500
```

Values from the calculation:
SG: I4_1/amd (141)
D(E_F), states/eV per atom: 0.797
Total moment, μB/atom: 0.000
Polymorph energy (0 for the lowest one), meV per atom: 342

A geometry-optimized RbBH2F8 structure, computed with PBE.

Geometry as POSCAR:
```
RbBH2F8
1.0
-1.8542 -4.0587 -2.7933
2.1156 -3.5581 0.9094
-3.9283 -0.4555 6.6708
F H B Rb
8 2 1 1
Direct
0.6104 0.6726 0.3767
0.9353 0.1893 0.1356
0.7845 0.3411 0.8487
0.5877 0.8386 0.9652
0.2155 0.6589 0.1513
0.0647 0.8107 0.8644
0.3896 0.3274 0.6233
0.4123 0.1614 0.0348
0.5471 0.3334 0.7234
0.4529 0.6666 0.2766
0.0000 0.0000 0.0000
0.0000 0.0000 0.5000
```

Values from the calculation:
SG: P-1 (2)
D(E_F), states/eV per atom: 0.000
Total moment, μB/atom: 0.000
Final energy, eV per atom: -4.20

A geometry-optimized Na2Hg2I structure, computed with PBE.

Geometry as POSCAR:
```
Na2Hg2I
1.0
8.4461 0.0000 0.0000
0.0000 8.4461 0.0000
0.0000 0.0000 4.6185
Hg Na I
4 4 2
Direct
0.1350 0.6350 0.5000
0.3650 0.1350 0.5000
0.8650 0.3650 0.5000
0.6350 0.8650 0.5000
0.1657 0.3343 0.0000
0.3343 0.8343 0.0000
0.8343 0.6657 0.0000
0.6657 0.1657 0.0000
0.0000 0.0000 0.0000
0.5000 0.5000 0.0000
```

Values from the calculation:
SG: P4/mbm (127)
D(E_F), states/eV per atom: 0.482
Total moment, μB/atom: 0.000
Formation energy from raw total energies, eV per atom: -0.44
Polymorph energy (0 for the lowest one), meV per atom: 0

A geometry-optimized Lu2PuZn structure, computed with PBE.

Geometry as POSCAR:
```
Lu2PuZn
1.0
-2.8499 -1.6545 -1.2212
2.3739 -0.6747 -4.6259
1.9434 -4.5761 1.6647
Lu Pu Zn
2 1 1
Direct
0.0000 0.5000 0.0000
0.0000 0.0000 0.5000
0.5000 0.5000 0.5000
0.5000 0.0000 0.0000
```

Values from the calculation:
SG: P4/mmm (123)
D(E_F), states/eV per atom: 2.160
Total moment, μB/atom: 1.576
Energy relative to the elements, eV/atom: 0.045
Polymorph energy (0 for the lowest one), meV per atom: 135

A geometry-optimized Sc2CuH2 structure, computed with PBE.

Geometry as POSCAR:
```
Sc2CuH2
1.0
6.8849 0.0000 0.0000
0.0000 6.8849 0.0000
0.0000 0.0000 2.7384
Sc Cu H
4 2 4
Direct
0.1513 0.3487 0.0000
0.8487 0.6513 0.0000
0.6513 0.1513 0.0000
0.3487 0.8487 0.0000
0.5000 0.5000 0.0000
0.0000 0.0000 0.0000
0.8934 0.3934 0.5000
0.6066 0.8934 0.5000
0.3934 0.1066 0.5000
0.1066 0.6066 0.5000
```

Values from the calculation:
SG: P4/mbm (127)
D(E_F), states/eV per atom: 0.896
Total moment, μB/atom: 0.000
Polymorph energy (0 for the lowest one), meV per atom: 634

A geometry-optimized Zr2HgSe structure, computed with PBE.

Geometry as POSCAR:
```
Zr2HgSe
1.0
-7.2914 5.5982 0.7584
-6.6215 4.9258 4.1197
-4.8613 7.4436 2.4579
Zr Se Hg
2 1 1
Direct
0.0075 0.0075 0.0075
0.2522 0.2522 0.2522
0.7409 0.7409 0.7409
0.4994 0.4994 0.4994
```

Values from the calculation:
SG: R3m (160)
D(E_F), states/eV per atom: 0.663
Total moment, μB/atom: 0.000
Formation energy from raw total energies, eV per atom: -0.40
Polymorph energy (0 for the lowest one), meV per atom: 195

A geometry-optimized NbPPd structure, computed with PBE.

Geometry as POSCAR:
```
NbPPd
1.0
3.3434 0.0000 0.0000
0.0000 3.4486 0.0000
0.0000 0.0000 8.3679
P Nb Pd
2 2 2
Direct
0.5000 0.0000 0.4308
0.5000 0.5000 0.9308
0.0000 0.0000 0.8310
0.0000 0.5000 0.3310
0.5000 0.5000 0.6269
0.5000 0.0000 0.1269
```

Values from the calculation:
SG: Amm2 (38)
D(E_F), states/eV per atom: 0.565
Total moment, μB/atom: 0.000
Energy relative to the elements, eV/atom: -0.554

A geometry-optimized Dy7PS5 structure, computed with PBE.

Geometry as POSCAR:
```
Dy7PS5
1.0
3.8501 0.0000 0.0000
-1.9250 6.3951 -0.1014
0.0000 -0.4226 23.3338
Dy S P
14 10 2
Direct
0.7980 0.5960 0.8193
0.5379 0.0759 0.7522
0.0781 0.1562 0.8928
0.9023 0.8046 0.3845
0.3663 0.7326 0.5373
0.1850 0.3700 0.3225
0.0978 0.1955 0.6155
0.2029 0.4058 0.1807
0.6431 0.2861 0.0374
0.4625 0.9249 0.2478
0.3582 0.7164 0.9626
0.9232 0.8464 0.1071
0.8151 0.6303 0.6776
0.6337 0.2674 0.4628
0.2730 0.5460 0.4291
0.5431 0.0863 0.3561
0.0007 0.0013 0.9999
0.0000 0.0000 0.5000
0.7204 0.4408 0.9276
0.2808 0.5617 0.0723
0.4386 0.8772 0.8558
0.5625 0.1249 0.1442
0.4570 0.9139 0.6439
0.7270 0.4540 0.5709
0.1934 0.3869 0.7325
0.8069 0.6138 0.2677
```

Values from the calculation:
SG: Cm (8)
D(E_F), states/eV per atom: 0.433
Total moment, μB/atom: 0.000
Formation energy from raw total energies, eV per atom: -1.76

A geometry-optimized SrTl2Tc structure, computed with PBE.

Geometry as POSCAR:
```
SrTl2Tc
1.0
-2.7539 5.4629 8.0452
-5.0249 2.7688 8.3209
-1.7601 2.4702 9.6412
Tl Sr Tc
2 1 1
Direct
0.7433 0.7433 0.7433
0.9888 0.9888 0.9888
0.5122 0.5122 0.5122
0.2556 0.2556 0.2556
```

Values from the calculation:
SG: R3m (160)
D(E_F), states/eV per atom: 0.943
Total moment, μB/atom: 0.144
Energy relative to the elements, eV/atom: 0.633
Polymorph energy (0 for the lowest one), meV per atom: 313